(1)
{"formula": "Na4ZnH2", "functional": "PBE-GGA", "state": "relaxed", "total_energy_ev_per_atom": -1.541, "lattice": [[-0.4648, -3.2252, 4.4231], [-2.3957, -3.8715, -3.0748], [4.2470, -6.0732, -0.5702]], "species": ["Na", "H", "Na", "H", "Na", "Na", "Zn"], "frac_coords": [[0.7605, 0.7605, 0.4791], [0.5986, 0.5986, 0.8028], [0.2395, 0.2395, 0.5209], [0.4014, 0.4014, 0.1972], [0.0000, 0.5000, 0.0000], [0.5000, 0.0000, 0.0000], [0.0000, 0.0000, 0.0000]]}


(2)
{"formula": "NaZnH2", "functional": "PBE-GGA", "state": "relaxed", "e_above_lowest_polymorph_mev_per_atom": 0, "lattice": [[5.1545, 0.0000, -0.2340], [0.0000, 4.5275, 0.0000], [-0.3644, 0.0000, 8.9671]], "species": ["H", "H", "Na", "H", "H", "H", "Zn", "Zn", "H", "Na", "Zn", "H", "Na", "Zn", "H", "Na"], "frac_coords": [[0.8679, 0.2480, 0.8757], [0.1321, 0.7520, 0.1243], [0.0466, 0.7767, 0.8707], [0.6268, 0.8503, 0.2316], [0.8679, 0.2520, 0.3757], [0.6268, 0.6497, 0.7316], [0.5598, 0.1053, 0.3788], [0.4402, 0.8947, 0.6212], [0.3732, 0.3503, 0.2684], [0.9534, 0.2233, 0.1293], [0.4402, 0.6053, 0.1212], [0.3732, 0.1497, 0.7684], [0.9534, 0.2767, 0.6293], [0.5598, 0.3947, 0.8788], [0.1321, 0.7480, 0.6243], [0.0466, 0.7233, 0.3707]]}


(3)
{"formula": "NaZn2H2", "functional": "PBE-GGA", "state": "relaxed", "e_above_lowest_polymorph_mev_per_atom": 0, "lattice": [[3.8741, 0.0000, 0.0000], [0.0000, 3.8741, 0.0000], [1.9370, 1.9370, 4.2097]], "species": ["H", "H", "Na", "Zn", "Zn"], "frac_coords": [[0.7500, 0.2500, 0.5000], [0.2500, 0.7500, 0.5000], [0.0000, 0.0000, 0.0000], [0.3455, 0.3455, 0.3089], [0.6545, 0.6545, 0.6911]]}


(4)
{"formula": "Na2ZnH4", "functional": "PBE-GGA", "state": "relaxed", "e_above_lowest_polymorph_mev_per_atom": 78, "lattice": [[-2.2905, -2.5590, 1.1778], [2.8165, -2.0509, 1.0213], [0.1741, 0.2363, 6.4479]], "species": ["Na", "Zn", "H", "H", "Na", "H", "H"], "frac_coords": [[0.6449, 0.6449, 0.7101], [0.0000, 0.0000, 0.0000], [0.8416, 0.8416, 0.3168], [0.1584, 0.1584, 0.6832], [0.3551, 0.3551, 0.2899], [0.0000, 0.5000, 0.0000], [0.5000, 0.0000, 0.0000]]}


(5)
{"formula": "Na3Zn2H6", "functional": "PBE-GGA", "state": "relaxed", "total_energy_ev_per_atom": -2.459, "lattice": [[3.7767, 0.0000, 0.0000], [0.0000, 3.7767, 0.0000], [-1.8884, -1.8884, 8.6919]], "species": ["Na", "Zn", "H", "H", "H", "H", "Na", "Na", "Zn", "H", "H"], "frac_coords": [[0.0000, 0.0000, 0.0000], [0.5889, 0.5889, 0.1778], [0.6900, 0.6900, 0.3800], [0.0827, 0.5827, 0.1653], [0.5827, 0.0827, 0.1653], [0.4173, 0.9173, 0.8347], [0.8211, 0.8211, 0.6422], [0.1789, 0.1789, 0.3578], [0.4111, 0.4111, 0.8222], [0.9173, 0.4173, 0.8347], [0.3100, 0.3100, 0.6200]]}


(6)
{"formula": "Na2ZnH4", "functional": "PBE-GGA", "state": "relaxed", "e_above_lowest_polymorph_mev_per_atom": 0, "lattice": [[5.3260, 0.0000, 0.0035], [0.0000, 5.3947, 0.0000], [-1.9539, 0.0000, 6.3035]], "species": ["H", "H", "Zn", "Na", "Zn", "H", "H", "H", "H", "H", "H", "Na", "Na", "Na"], "frac_coords": [[0.4660, 0.9919, 0.2621], [0.4660, 0.5081, 0.2621], [0.7328, 0.2500, 0.7950], [0.2968, 0.2500, 0.9684], [0.2672, 0.7500, 0.2050], [0.0581, 0.7500, 0.3466], [0.9419, 0.2500, 0.6534], [0.5340, 0.4919, 0.7379], [0.5340, 0.0081, 0.7379], [0.1158, 0.7500, 0.9469], [0.8842, 0.2500, 0.0531], [0.7861, 0.7500, 0.5678], [0.7032, 0.7500, 0.0316], [0.2139, 0.2500, 0.4322]]}


(7)
{"formula": "Na3Zn2H7", "functional": "PBE-GGA", "state": "relaxed", "total_energy_ev_per_atom": -2.526, "lattice": [[3.5477, 0.0000, 0.0000], [0.0000, 3.6860, 0.0000], [0.0000, -1.8430, 10.1095]], "species": ["H", "Na", "Zn", "H", "Na", "H", "H", "H", "Na", "H", "Zn", "H"], "frac_coords": [[0.5000, 0.0911, 0.1823], [0.5000, 0.3251, 0.6502], [0.0000, 0.9066, 0.8132], [0.0000, 0.0000, 0.0000], [0.5000, 0.5000, 0.0000], [0.0000, 0.1849, 0.3699], [0.0000, 0.5907, 0.1814], [0.0000, 0.8151, 0.6301], [0.5000, 0.6749, 0.3498], [0.5000, 0.9089, 0.8177], [0.0000, 0.0934, 0.1868], [0.0000, 0.4093, 0.8186]]}


(8)
{"formula": "NaZn3H", "functional": "PBE-GGA", "state": "relaxed", "total_energy_ev_per_atom": -1.401, "lattice": [[4.2412, 0.0000, 0.0000], [0.0000, 4.2412, 0.0000], [0.0000, 0.0000, 4.2412]], "species": ["H", "Zn", "Na", "Zn", "Zn"], "frac_coords": [[0.0000, 0.0000, 0.0000], [0.0000, 0.0000, 0.5000], [0.5000, 0.5000, 0.5000], [0.5000, 0.0000, 0.0000], [0.0000, 0.5000, 0.0000]]}


(9)
{"formula": "Na2ZrH", "functional": "PBE-GGA", "state": "relaxed", "e_above_lowest_polymorph_mev_per_atom": 0, "lattice": [[6.4788, 0.0000, 0.0000], [0.0000, 6.4788, 0.0000], [3.2394, 3.2394, 4.5249]], "species": ["H", "Zr", "Na", "Na", "Na", "Na", "H", "Zr"], "frac_coords": [[0.5000, 0.5000, 0.0000], [0.7500, 0.2500, 0.5000], [0.8750, 0.6635, 0.7500], [0.4135, 0.1250, 0.2500], [0.3365, 0.6250, 0.2500], [0.3750, 0.5865, 0.7500], [0.2500, 0.7500, 0.5000], [0.0000, 0.0000, 0.0000]]}


(10)
{"formula": "NaZrH2", "functional": "PBE-GGA", "state": "relaxed", "e_above_lowest_polymorph_mev_per_atom": 0, "lattice": [[-2.8633, 3.8707, 1.6209], [-3.1418, -0.6766, -3.9343], [-5.5574, -1.3601, 1.3920]], "species": ["Na", "H", "H", "Na", "Zr", "H", "H", "Zr"], "frac_coords": [[0.2500, 0.7500, 0.5000], [0.8750, 0.9471, 0.7500], [0.0529, 0.6250, 0.2500], [0.5000, 0.5000, 0.0000], [0.0000, 0.0000, 0.0000], [0.3750, 0.3029, 0.7500], [0.6971, 0.1250, 0.2500], [0.7500, 0.2500, 0.5000]]}


(11)
{"formula": "Na2ZrH6", "functional": "PBE-GGA", "state": "relaxed", "total_energy_ev_per_atom": -3.340, "lattice": [[0.9879, 3.6913, 4.2263], [3.2437, -1.5370, 4.4249], [5.1882, 2.2632, 0.6512]], "species": ["Na", "H", "H", "H", "Zr", "H", "H", "H", "Na"], "frac_coords": [[0.2500, 0.2500, 0.2500], [0.7545, 0.7545, 0.2455], [0.2455, 0.2455, 0.7545], [0.2455, 0.7545, 0.2455], [0.0000, 0.0000, 0.0000], [0.7545, 0.2455, 0.7545], [0.2455, 0.7545, 0.7545], [0.7545, 0.2455, 0.2455], [0.7500, 0.7500, 0.7500]]}


(12)
{"formula": "NaZrH3", "functional": "PBE-GGA", "state": "relaxed", "e_above_lowest_polymorph_mev_per_atom": 490, "lattice": [[3.7289, 0.0000, 0.0000], [0.0000, 3.7289, 0.0000], [0.0000, 0.0000, 3.7289]], "species": ["Zr", "H", "Na", "H", "H"], "frac_coords": [[0.5000, 0.5000, 0.5000], [0.0000, 0.5000, 0.0000], [0.0000, 0.0000, 0.0000], [0.5000, 0.0000, 0.0000], [0.0000, 0.0000, 0.5000]]}